This record from Alexandria describes a relaxed structure of Zr5Pb. The functional is PBEsol.

ΔH_f (0 K) = -0.076 eV per atom

Unit cell a=5.4931 b=5.4931 c=5.1279 alpha=90.00 beta=90.00 gamma=120.00
Space group P-62m (No. 189)
One atom of each set of equivalent atoms:
Zr 0.0000 0.3252 0.0000 (multiplicity 3)
Zr 0.3333 0.6667 0.5000 (multiplicity 2)
Pb 0.0000 0.0000 0.5000 (multiplicity 1)